Record 1
PBE Ge2TePd2, optimized geometry; magnetization = 0.00 μB/cell; E above lowest polymorph = 0.0 meV/atom; uncorrected formation energy = -0.85 eV/f.u.; symmetry = No. 139; uncorrected energy = -4.72 eV per atom
1.0
4.001 0.000 0.000
0.000 4.001 0.000
2.000 2.000 6.095
Ge Pd Te
2 2 1
Direct
0.250 0.750 0.500
0.750 0.250 0.500
0.385 0.385 0.229
0.615 0.615 0.771
0.000 0.000 0.000

Record 2
PBE BeRhBr, optimized geometry; magnetization = 0.00 μB/cell; E above lowest polymorph = 143.1 meV/atom; uncorrected formation energy = -0.86 eV/f.u.; symmetry = No. 2; uncorrected energy = -4.54 eV per atom
1.0
-5.086 2.898 6.998
-1.311 -3.722 -0.146
3.168 0.784 2.059
Rh Br Be
2 2 2
Direct
0.325 0.843 0.595
0.541 0.888 0.108
0.738 0.950 0.632
0.127 0.781 0.072
0.328 0.485 0.917
0.537 0.246 0.786

Record 3
PBE PrHoErMg, optimized geometry; magnetization = 0.00 μB/cell; ΔH_f (0 K) = -0.023 eV/atom; E above lowest polymorph = 0.0 meV/atom; symmetry = No. 99; uncorrected energy = -3.90 eV per atom
1.0
-1.595 -2.979 -1.410
3.233 -1.719 -0.025
-1.582 -3.099 8.337
Pr Ho Mg Er
1 1 1 1
Direct
0.000 0.000 0.072
0.500 0.500 0.794
0.000 0.000 0.570
0.500 0.500 0.348

Record 4
PBE AcNd5Rh4, optimized geometry; magnetization = 0.00 μB/cell; ΔH_f (0 K) = -0.546 eV/atom; symmetry = No. 71; uncorrected energy = -6.28 eV per atom
1.0
4.362 0.000 0.000
0.000 7.679 -0.836
-2.181 -2.918 8.905
Nd Rh Ac
5 4 1
Direct
0.834 0.589 0.669
0.834 0.079 0.668
0.166 0.411 0.331
0.166 0.921 0.332
0.500 0.500 0.000
0.000 0.266 0.000
0.699 0.199 0.398
0.000 0.734 0.000
0.301 0.801 0.602
0.500 0.000 0.000

Record 5
PBE RbLi3Tc, optimized geometry; magnetization = 2.65 μB/cell; ΔH_f (0 K) = 0.892 eV/atom; E above lowest polymorph = 0.0 meV/atom; symmetry = No. 221; uncorrected energy = -2.52 eV per atom
1.0
5.334 0.000 0.000
0.000 5.334 0.000
0.000 0.000 5.334
Li Rb Tc
3 1 1
Direct
0.000 0.000 0.500
0.500 0.000 0.000
0.000 0.500 0.000
0.500 0.500 0.500
0.000 0.000 0.000

Record 6
PBE BaMg2BeP, optimized geometry; magnetization = 0.00 μB/cell; ΔH_f (0 K) = 0.247 eV/atom; symmetry = No. 123; uncorrected energy = -2.60 eV per atom
1.0
4.811 0.000 0.000
0.000 5.725 0.000
0.000 0.000 4.811
Mg P Be Ba
2 1 1 1
Direct
0.500 0.000 0.000
0.000 0.000 0.500
0.500 0.500 0.500
0.000 0.000 0.000
0.000 0.500 0.000

Record 7
PBE TlZn3Hg, optimized geometry; magnetization = 0.00 μB/cell; ΔH_f (0 K) = 0.330 eV/atom; E above lowest polymorph = 0.0 meV/atom; symmetry = No. 221; uncorrected energy = -0.97 eV per atom
1.0
-4.423 2.504 0.120
-0.670 -1.416 4.836
2.416 4.191 1.562
Tl Zn Hg
1 3 1
Direct
0.500 0.500 0.500
0.000 0.500 0.000
0.500 0.000 0.000
0.000 0.000 0.500
0.000 0.000 0.000

Record 8
PBE Tb2Pm3Dy, optimized geometry; magnetization = 0.00 μB/cell; ΔH_f (0 K) = -0.013 eV/atom; E above lowest polymorph = 0.0 meV/atom; symmetry = No. 36; uncorrected energy = -4.70 eV per atom
1.0
11.650 0.000 0.000
0.000 6.258 -0.297
0.000 -2.884 5.562
Pm Dy Tb
6 2 4
Direct
0.970 0.835 0.168
0.470 0.832 0.165
0.470 0.165 0.832
0.470 0.499 0.499
0.970 0.168 0.835
0.970 0.501 0.501
0.720 0.834 0.834
0.220 0.166 0.166
0.720 0.167 0.501
0.220 0.833 0.499
0.720 0.501 0.167
0.220 0.499 0.833

Record 9
PBE SrTl2Fe, optimized geometry; magnetization = 2.96 μB/cell; ΔH_f (0 K) = 0.399 eV/atom; symmetry = No. 216; uncorrected energy = -3.32 eV per atom
1.0
5.335 0.000 0.000
2.667 4.620 0.000
2.667 1.540 4.356
Fe Tl Sr
1 2 1
Direct
0.500 0.500 0.500
0.000 0.000 0.000
0.250 0.250 0.250
0.750 0.750 0.750

Record 10
PBE LiCrFe2, optimized geometry; magnetization = 2.68 μB/cell; ΔH_f (0 K) = 0.273 eV/atom; E above lowest polymorph = 81.6 meV/atom; symmetry = No. 10; uncorrected energy = -6.84 eV per atom
1.0
3.939 0.000 0.000
0.000 2.392 0.099
0.000 0.611 4.797
Fe Li Cr
2 1 1
Direct
0.000 0.506 0.500
0.000 0.994 0.000
0.500 0.250 0.250
0.500 0.750 0.750

Record 11
PBE Th3Al3Cu2, optimized geometry; magnetization = 0.00 μB/cell; ΔH_f (0 K) = -0.330 eV/atom; E above lowest polymorph = 0.0 meV/atom; symmetry = No. 63; uncorrected energy = -5.54 eV per atom
1.0
-0.124 1.755 4.096
1.328 -5.581 0.006
14.543 3.460 -1.043
Al Cu Th
6 4 6
Direct
0.623 0.246 0.464
0.377 0.754 0.536
0.623 0.246 0.036
0.670 0.340 0.750
0.377 0.754 0.964
0.330 0.660 0.250
0.793 0.585 0.598
0.207 0.415 0.402
0.207 0.415 0.098
0.793 0.585 0.902
0.914 0.828 0.386
0.086 0.172 0.886
0.914 0.828 0.114
0.373 0.745 0.750
0.086 0.172 0.614
0.627 0.255 0.250